Tb12NdTh5 (PBE, optimized geometry); energy relative to the elements = 47 meV/atom; V = 580.5 Å³/f.u.; crystal system = monoclinic; electronic total energy = -5.366 eV/atom
1.0
9.291 -5.339 0.000
9.291 5.339 0.000
-2.051 0.000 5.851
Tb Nd Th
12 1 5
Direct
0.002 0.331 0.833
0.162 0.838 0.000
0.166 0.497 0.663
0.331 0.002 0.833
0.334 0.666 0.500
0.497 0.166 0.663
0.503 0.834 0.337
0.666 0.334 0.500
0.669 0.998 0.167
0.834 0.503 0.337
0.838 0.162 0.000
0.998 0.669 0.167
0.500 0.500 0.000
0.000 0.000 0.500
0.166 0.166 0.332
0.331 0.331 0.171
0.669 0.669 0.829
0.834 0.834 0.668